First-principles (GGA-PBE) data for a geometry-optimized NdSmErSc structure, as listed in Alexandria.

a b c (Å): 6.7143 6.7143 3.8016
angles (deg): 106.41 106.41 49.94
Fractional positions:
1 Nd 0.0000 0.0000 0.0000
2 Sm 0.2753 0.2753 0.7777
3 Er 0.5395 0.5395 0.5397
4 Sc 0.7665 0.7665 0.2674

Calculated volume (Å³ per atom): 31.158
DOS(E_F) (states/eV per cell): 6.777
Spin magnetization (μB/f.u.): 0.00
Formation energy (meV per atom): 99

=====

First-principles (GGA-PBE) data for a geometry-optimized Hg2BiI structure, as listed in Alexandria.

a b c (Å): 4.3977 9.9057 13.6154
angles (deg): 90.00 96.63 90.00
Fractional positions:
1 Hg 0.1057 0.2108 0.0460
2 Hg 0.1057 0.2892 0.5460
3 Hg 0.1886 0.5066 0.3602
4 Hg 0.1886 0.9934 0.8602
5 Hg 0.8114 0.0066 0.1398
6 Hg 0.8114 0.4934 0.6398
7 Hg 0.8943 0.7108 0.4540
8 Hg 0.8943 0.7892 0.9540
9 Bi 0.2275 0.0560 0.4306
10 Bi 0.2275 0.4440 0.9306
11 Bi 0.7725 0.5560 0.0694
12 Bi 0.7725 0.9440 0.5694
13 I 0.4148 0.6834 0.7391
14 I 0.4148 0.8166 0.2391
15 I 0.5852 0.1834 0.7609
16 I 0.5852 0.3166 0.2609

Calculated volume (Å³ per atom): 36.822
ΔE_f (raw) (eV per atom): -0.088
Spin magnetization (μB/f.u.): 0.00

=====

First-principles (GGA-PBE) data for a geometry-optimized NaY3Au structure, as listed in Alexandria.

a b c (Å): 5.6376 5.6376 5.6376
angles (deg): 90.00 90.00 90.00
Fractional positions:
1 Na 0.0000 0.0000 0.0000
2 Y 0.0000 0.5000 0.5000
3 Y 0.5000 0.0000 0.5000
4 Y 0.5000 0.5000 0.0000
5 Au 0.5000 0.5000 0.5000

Calculated volume (Å³ per atom): 35.835
DOS(E_F) (states/eV per cell): 7.330
Spin magnetization (μB/f.u.): 0.00
Formation energy (meV per atom): -13